VASP calculation (PBE) on crystalline SiRuSeBr2 at its relaxed geometry.

Computed properties:
Spin magnetization, μB/f.u.: 0.37
ρ, kg/m³: 4950
Crystal system: tetragonal
Formation energy from raw total energies, eV per atom: 0.58
Offset from the most stable computed form, meV per atom: 0.0

Lattice parameters (Å, degrees): 5.095 5.095 4.754 90.00 90.00 90.00
Atoms (fractional coordinates):
Si1 0.000 0.000 0.000
Ru1 0.500 0.500 0.500
Se1 0.500 0.500 0.000
Br1 0.000 0.500 0.500
Br2 0.500 0.000 0.500